[1]
Computed, not measured: LiCu2SiOs after structural relaxation at the GGA-PBEsol level of DFT.

Cell lengths 3.8305, 3.8305, 4.2297 Å; angles 90.00, 90.00, 90.00 degrees
Element x y z (fractional)
Li1 0.0000 0.0000 0.0000
Cu1 0.0000 0.5000 0.0000
Cu2 0.5000 0.0000 0.0000
Si1 0.5000 0.5000 0.5000
Os1 0.0000 0.0000 0.5000

Summary:
The space-group type is P4/mmm. As for the magnetization: 0.000 μB per atom. The calculation puts the final energy at -4.794 eV/atom.

[2]
Computed, not measured: Li3CuP after structural relaxation at the GGA-PBEsol level of DFT.

Cell lengths 4.5457, 4.5457, 4.5457 Å; angles 90.00, 90.00, 90.00 degrees
Element x y z (fractional)
Li1 0.0000 0.0000 0.5000
Li2 0.0000 0.5000 0.0000
Li3 0.5000 0.0000 0.0000
Cu1 0.5000 0.5000 0.5000
P1 0.0000 0.0000 0.0000

Summary:
The space-group type is Pm-3m. As for the magnetization: 0.000 μB per atom. The calculation puts the final energy at -3.126 eV/atom. The value obtained for the formation energy from the elements is 80 meV per atom.

[3]
Computed, not measured: LiCu2P2 after structural relaxation at the GGA-PBEsol level of DFT.

Cell lengths 5.4569, 5.4569, 5.4569 Å; angles 138.95, 138.95, 59.46 degrees
Element x y z (fractional)
Li1 0.0000 0.0000 0.0000
Cu1 0.2500 0.7500 0.5000
Cu2 0.7500 0.2500 0.5000
P1 0.3871 0.3871 0.0000
P2 0.6129 0.6129 0.0000

Summary:
The space-group type is I4/mmm. As for the magnetization: 0.000 μB per atom. The calculation puts the final energy at -4.789 eV/atom. The value obtained for the formation energy from the elements is -346 meV per atom.

[4]
Computed, not measured: Li2CuP2 after structural relaxation at the GGA-PBEsol level of DFT.

Cell lengths 5.9229, 5.9229, 3.9981 Å; angles 90.00, 90.00, 90.00 degrees
Element x y z (fractional)
Li1 0.1725 0.3275 0.0000
Li2 0.3275 0.8275 0.0000
Li3 0.6725 0.1725 0.0000
Li4 0.8275 0.6725 0.0000
Cu1 0.0000 0.0000 0.5000
Cu2 0.5000 0.5000 0.5000
P1 0.1312 0.6312 0.5000
P2 0.3688 0.1312 0.5000
P3 0.6312 0.8688 0.5000
P4 0.8688 0.3688 0.5000

Summary:
The space-group type is P4/mbm. As for the magnetization: 0.000 μB per atom. The calculation puts the final energy at -4.439 eV/atom. The value obtained for the formation energy from the elements is -469 meV per atom.

[5]
Computed, not measured: LiCuP after structural relaxation at the GGA-PBEsol level of DFT.

Cell lengths 3.9264, 3.9264, 2.8817 Å; angles 90.00, 90.00, 120.00 degrees
Element x y z (fractional)
Li1 0.0000 0.0000 0.0000
Cu1 0.6667 0.3333 0.5000
P1 0.3333 0.6667 0.5000

Summary:
The space-group type is P-6m2. As for the magnetization: 0.000 μB per atom. The calculation puts the final energy at -4.413 eV/atom. The value obtained for the formation energy from the elements is -382 meV per atom.

[6]
Computed, not measured: LiCuPb2 after structural relaxation at the GGA-PBEsol level of DFT.

Cell lengths 4.8125, 4.8125, 3.5357 Å; angles 90.00, 90.00, 90.00 degrees
Element x y z (fractional)
Li1 0.0000 0.0000 0.0000
Cu1 0.5000 0.5000 0.0000
Pb1 0.0000 0.5000 0.5000
Pb2 0.5000 0.0000 0.5000

Summary:
The space-group type is P4/mmm. For the energy above the lowest structure with this stoichiometry, the calculation gives 0 meV per atom. As for the magnetization: 0.000 μB per atom. The calculation puts the final energy at -3.554 eV/atom. The value obtained for the formation energy from the elements is 20 meV per atom.

[7]
Computed, not measured: Li3CuPb after structural relaxation at the GGA-PBEsol level of DFT.

Cell lengths 5.0444, 5.0444, 5.0444 Å; angles 90.00, 90.00, 90.00 degrees
Element x y z (fractional)
Li1 0.0000 0.0000 0.5000
Li2 0.0000 0.5000 0.0000
Li3 0.5000 0.0000 0.0000
Cu1 0.5000 0.5000 0.5000
Pb1 0.0000 0.0000 0.0000

Summary:
The space-group type is Pm-3m. For the energy above the lowest structure with this stoichiometry, the calculation gives 466 meV per atom. As for the magnetization: 0.039 μB per atom. The calculation puts the final energy at -2.273 eV/atom. The value obtained for the formation energy from the elements is 574 meV per atom.

[8]
Computed, not measured: LiCuPb2 after structural relaxation at the GGA-PBEsol level of DFT.

Cell lengths 5.6139, 5.6139, 4.8692 Å; angles 106.11, 106.11, 34.35 degrees
Element x y z (fractional)
Li1 0.0000 0.0000 0.0000
Cu1 0.2930 0.2930 0.6988
Pb1 0.5417 0.5417 0.5372
Pb2 0.7642 0.7642 0.1786

Summary:
The space-group type is Cm. For the energy above the lowest structure with this stoichiometry, the calculation gives 22 meV per atom. As for the magnetization: 0.000 μB per atom. The calculation puts the final energy at -3.533 eV/atom. The value obtained for the formation energy from the elements is 42 meV per atom.

[9]
Computed, not measured: Li3CuPb after structural relaxation at the GGA-PBEsol level of DFT.

Cell lengths 4.5637, 4.5637, 4.5637 Å; angles 90.00, 90.00, 90.00 degrees
Element x y z (fractional)
Li1 0.0000 0.0000 0.5000
Li2 0.0000 0.5000 0.0000
Li3 0.5000 0.0000 0.0000
Cu1 0.0000 0.0000 0.0000
Pb1 0.5000 0.5000 0.5000

Summary:
The space-group type is Pm-3m. For the energy above the lowest structure with this stoichiometry, the calculation gives 0 meV per atom. As for the magnetization: 0.000 μB per atom. The calculation puts the final energy at -2.739 eV/atom. The value obtained for the formation energy from the elements is 107 meV per atom.

[10]
Computed, not measured: LiCuPd2 after structural relaxation at the GGA-PBEsol level of DFT.

Cell lengths 4.1731, 4.1731, 4.1731 Å; angles 60.00, 60.00, 60.00 degrees
Element x y z (fractional)
Li1 0.0000 0.0000 0.0000
Cu1 0.5000 0.5000 0.5000
Pd1 0.2500 0.2500 0.2500
Pd2 0.7500 0.7500 0.7500

Summary:
The space-group type is Fm-3m. As for the magnetization: 0.000 μB per atom. The calculation puts the final energy at -4.813 eV/atom. The value obtained for the formation energy from the elements is -259 meV per atom.

[11]
Computed, not measured: LiCuPt2 after structural relaxation at the GGA-PBEsol level of DFT.

Cell lengths 2.7453, 4.3073, 4.5823 Å; angles 90.00, 90.00, 90.00 degrees
Element x y z (fractional)
Li1 0.0000 0.0000 0.0000
Cu1 0.5000 0.0000 0.5000
Pt1 0.0000 0.5000 0.5000
Pt2 0.5000 0.5000 0.0000

Summary:
The space-group type is Pmmm. For the energy above the lowest structure with this stoichiometry, the calculation gives 20 meV per atom. As for the magnetization: 0.000 μB per atom. The calculation puts the final energy at -5.378 eV/atom. The value obtained for the formation energy from the elements is -321 meV per atom.

[12]
Computed, not measured: LiCuPt after structural relaxation at the GGA-PBEsol level of DFT.

Cell lengths 4.4796, 4.4796, 4.4796 Å; angles 145.60, 129.89, 62.20 degrees
Element x y z (fractional)
Li1 0.0000 0.0000 0.0000
Cu1 0.3273 0.3273 0.0000
Pt1 0.6673 0.6673 0.0000

Summary:
The space-group type is Imm2. For the energy above the lowest structure with this stoichiometry, the calculation gives 5 meV per atom. As for the magnetization: 0.000 μB per atom. The calculation puts the final energy at -4.694 eV/atom. The value obtained for the formation energy from the elements is -273 meV per atom.